[1]
# SrTaZn2Ir | Alexandria via LeMat-Bulk | GGA-PBE | relaxed
data_SrTaZn2Ir
_cell_length_a 4.9080
_cell_length_b 4.9080
_cell_length_c 5.2365
_cell_angle_alpha 90.00
_cell_angle_beta 90.00
_cell_angle_gamma 90.00
_symmetry_space_group_name_H-M 'P 4/m m m'
_symmetry_Int_Tables_number 123
_symmetry_space_group_name_Hall '-P 4 2'
loop_
_atom_site_label
_atom_site_fract_x
_atom_site_fract_y
_atom_site_fract_z
Sr1 0.0000 0.0000 0.0000
Ta1 0.0000 0.0000 0.5000
Zn1 0.0000 0.5000 0.0000
Ir1 0.5000 0.5000 0.5000
# Formation enthalpy at 0 K ... 2.5124 eV per atom

***

[2]
# DySiTc2C | Alexandria via LeMat-Bulk | GGA-PBE | relaxed
data_DySiTc2C
_cell_length_a 3.8715
_cell_length_b 10.9895
_cell_length_c 7.3085
_cell_angle_alpha 90.00
_cell_angle_beta 90.00
_cell_angle_gamma 90.00
_symmetry_space_group_name_H-M 'C m c m'
_symmetry_Int_Tables_number 63
_symmetry_space_group_name_Hall '-C 2c 2'
loop_
_atom_site_label
_atom_site_fract_x
_atom_site_fract_y
_atom_site_fract_z
Dy1 0.0000 0.0432 0.2500
Si1 0.0000 0.2338 0.7500
Tc1 0.0000 0.3288 0.0591
C1 0.0000 0.5000 0.0000
# Formation energy (no corrections) ... -12.10 kcal/mol of atoms

***

[3]
# AgTe2Os | Alexandria via LeMat-Bulk | GGA-PBE | relaxed
data_AgTe2Os
_cell_length_a 4.9189
_cell_length_b 4.9189
_cell_length_c 3.3857
_cell_angle_alpha 90.00
_cell_angle_beta 90.00
_cell_angle_gamma 90.00
_symmetry_space_group_name_H-M 'P 4/m m m'
_symmetry_Int_Tables_number 123
_symmetry_space_group_name_Hall '-P 4 2'
loop_
_atom_site_label
_atom_site_fract_x
_atom_site_fract_y
_atom_site_fract_z
Ag1 0.0000 0.0000 0.0000
Te1 0.0000 0.5000 0.5000
Os1 0.5000 0.5000 0.0000
# Energy above the lowest structure with this stoichiometry ... 520 meV per atom
# Formation energy (no corrections) ... 17.12 kcal/mol of atoms

***

[4]
# LaHoPt | Alexandria via LeMat-Bulk | GGA-PBE | relaxed
data_LaHoPt
_cell_length_a 7.0516
_cell_length_b 7.0516
_cell_length_c 7.0516
_cell_angle_alpha 90.00
_cell_angle_beta 90.00
_cell_angle_gamma 90.00
_symmetry_space_group_name_H-M 'F -4 3 m'
_symmetry_Int_Tables_number 216
_symmetry_space_group_name_Hall 'F -4 2 3'
loop_
_atom_site_label
_atom_site_fract_x
_atom_site_fract_y
_atom_site_fract_z
La1 0.0000 0.0000 0.0000
Ho1 0.0000 0.0000 0.5000
Pt1 0.2500 0.2500 0.2500
# Formation enthalpy at 0 K ... -0.7785 eV per atom
# Energy above the lowest structure with this stoichiometry ... 138 meV per atom

***

[5]
# CaGaBr3 | Alexandria via LeMat-Bulk | GGA-PBE | relaxed
data_CaGaBr3
_cell_length_a 5.4729
_cell_length_b 5.4729
_cell_length_c 5.4729
_cell_angle_alpha 90.00
_cell_angle_beta 90.00
_cell_angle_gamma 90.00
_symmetry_space_group_name_H-M 'P m -3 m'
_symmetry_Int_Tables_number 221
_symmetry_space_group_name_Hall '-P 4 2 3'
loop_
_atom_site_label
_atom_site_fract_x
_atom_site_fract_y
_atom_site_fract_z
Ca1 0.0000 0.0000 0.0000
Ga1 0.5000 0.5000 0.5000
Br1 0.0000 0.5000 0.5000
# Formation energy (no corrections) ... -19.25 kcal/mol of atoms

***

[6]
# Si2OF | Alexandria via LeMat-Bulk | GGA-PBE | relaxed
data_Si2OF
_cell_length_a 4.0520
_cell_length_b 4.0520
_cell_length_c 13.1456
_cell_angle_alpha 90.00
_cell_angle_beta 90.00
_cell_angle_gamma 90.00
_symmetry_space_group_name_H-M 'I -4 2 d'
_symmetry_Int_Tables_number 122
_symmetry_space_group_name_Hall 'I -4 2bw'
loop_
_atom_site_label
_atom_site_fract_x
_atom_site_fract_y
_atom_site_fract_z
Si1 0.1283 0.2500 0.1250
O1 0.0000 0.0000 0.0000
F1 0.0000 0.0000 0.5000
# Energy above the lowest structure with this stoichiometry ... 0 meV per atom
# Formation energy (no corrections) ... -15.82 kcal/mol of atoms

***

[7]
# LaTlTc2 | Alexandria via LeMat-Bulk | GGA-PBE | relaxed
data_LaTlTc2
_cell_length_a 3.4465
_cell_length_b 4.5134
_cell_length_c 5.3223
_cell_angle_alpha 90.00
_cell_angle_beta 90.00
_cell_angle_gamma 90.00
_symmetry_space_group_name_H-M 'P m m m'
_symmetry_Int_Tables_number 47
loop_
_symmetry_equiv_pos_as_xyz
'x,y,z'
'-x,-y,-z'
'-x,-y,z'
'x,y,-z'
'x,-y,-z'
'-x,y,z'
'-x,y,-z'
'x,-y,z'
loop_
_atom_site_label
_atom_site_fract_x
_atom_site_fract_y
_atom_site_fract_z
La1 0.0000 0.0000 0.0000
Tl1 0.5000 0.0000 0.5000
Tc1 0.0000 0.5000 0.5000
Tc2 0.5000 0.5000 0.0000
# Formation enthalpy at 0 K ... 0.6568 eV per atom
# Energy above the lowest structure with this stoichiometry ... 551 meV per atom

***

[8]
# Hf3TaP | Alexandria via LeMat-Bulk | GGA-PBE | relaxed
data_Hf3TaP
_cell_length_a 5.0629
_cell_length_b 5.0629
_cell_length_c 5.0629
_cell_angle_alpha 90.00
_cell_angle_beta 90.00
_cell_angle_gamma 90.00
_symmetry_space_group_name_H-M 'P m -3 m'
_symmetry_Int_Tables_number 221
_symmetry_space_group_name_Hall '-P 4 2 3'
loop_
_atom_site_label
_atom_site_fract_x
_atom_site_fract_y
_atom_site_fract_z
Hf1 0.0000 0.0000 0.5000
Ta1 0.0000 0.0000 0.0000
P1 0.5000 0.5000 0.5000
# Formation enthalpy at 0 K ... 1.2571 eV per atom
# Energy above the lowest structure with this stoichiometry ... 1274 meV per atom

***

Total magnetization per entry: 1.0 0.0 0.0 0.0 0.0 0.0 0.0 0.0 μB per cell